[1]
Density functional theory data (PBE) for crystalline LaPmSbI at its relaxed geometry.

Cell and atoms, written as CIF:
```
data_LaPmSbI
_cell_length_a 7.839
_cell_length_b 7.839
_cell_length_c 7.839
_cell_angle_alpha 90.00
_cell_angle_beta 90.00
_cell_angle_gamma 90.00
_space_group_name_H-M_alt 'F -4 3 m'
_space_group_IT_number 216
_space_group_name_Hall 'F -4 2 3'
loop_
_atom_site_label
_atom_site_type_symbol
_atom_site_fract_x
_atom_site_fract_y
_atom_site_fract_z
La1 La 0.000 0.000 0.000
Pm1 Pm 0.000 0.000 0.500
Sb1 Sb 0.250 0.250 0.750
I1 I 0.250 0.250 0.250
```

Density (g/cm³): 7.3
Size of the total moment (μB per atom): 0.038
E_form (uncorrected) (eV per atom): -1.0269

[2]
Density functional theory data (PBE) for crystalline LaPmSeI at its relaxed geometry.

Cell and atoms, written as CIF:
```
data_LaPmSeI
_cell_length_a 7.110
_cell_length_b 4.117
_cell_length_c 8.569
_cell_angle_alpha 90.00
_cell_angle_beta 105.98
_cell_angle_gamma 90.00
_space_group_name_H-M_alt 'C 1 m 1'
_space_group_IT_number 8
loop_
_space_group_symop_operation_xyz
'x,y,z'
'x,-y,z'
'x+1/2,y+1/2,z'
'x+1/2,-y+1/2,z'
loop_
_atom_site_label
_atom_site_type_symbol
_atom_site_fract_x
_atom_site_fract_y
_atom_site_fract_z
La1 La 0.000 0.000 0.000
Pm1 Pm 0.191 0.000 0.574
Se1 Se 0.092 0.500 0.777
I1 I 0.431 0.000 0.293
```

Density (g/cm³): 6.7
Size of the total moment (μB per atom): 0.000
E_form (uncorrected) (eV per atom): -1.4127